LiY2Fe4O8, optimized geometry, DFT PBE with a Hubbard U; space group = Cm; uncorrected energy = -7.148 eV per atom; energy above the most stable polymorph in this dataset = 0.0 meV/atom
1.0
-4.376 -0.451 -4.961
-2.424 -5.778 -2.170
-5.766 -1.339 1.478
Y Fe O Li
2 4 8 1
direct
0.376 0.376 0.357
0.596 0.596 0.650
0.029 0.029 0.962
0.989 0.512 0.994
0.039 0.039 0.482
0.512 0.989 0.994
0.217 0.786 0.243
0.754 0.754 0.255
0.786 0.217 0.243
0.243 0.243 0.210
0.193 0.765 0.782
0.226 0.226 0.763
0.738 0.738 0.776
0.765 0.193 0.782
0.859 0.859 0.414